No. 1
Below is crystalline Al3Co2 at its relaxed geometry, with properties calculated at the PBE-GGA level.

Lattice parameters (Å, degrees): 10.084 10.084 10.084 15.71 15.71 15.71
Each line ends with the local moment (μB).
Fractional coordinates of all 5 atoms:
Co 0.398 0.398 0.398  0.64
Co 0.602 0.602 0.602  0.64
Al 0.794 0.794 0.794  -0.01
Al 0.000 0.000 0.000  -0.01
Al 0.206 0.206 0.206  -0.01

## Properties
final energy: -5.31 eV/atom
volume: 13.1 Å³/atom
symmetry: R-3m
energy relative to the elements: -0.227 eV/atom



No. 2
Below is crystalline AlCo at its relaxed geometry, with properties calculated at the PBE-GGA level.

Lattice parameters (Å, degrees): 4.954 4.954 3.968 90.00 90.00 120.00
Each line ends with the local moment (μB).
Fractional coordinates of all 6 atoms:
Co 0.500 0.500 0.000  0.59
Al 0.667 0.333 0.500  -0.01
Co 0.000 0.500 0.000  0.59
Co 0.500 0.000 0.000  0.59
Al 0.333 0.667 0.500  -0.01
Al 0.000 0.000 0.000  -0.01

## Properties
final energy: -5.73 eV/atom
volume: 14.1 Å³/atom
symmetry: P6/mmm
energy relative to the elements: -0.309 eV/atom



No. 3
Below is crystalline Al2Co at its relaxed geometry, with properties calculated at the PBE-GGA level.

Lattice parameters (Å, degrees): 11.135 11.135 11.135 165.72 165.72 20.25
Fractional coordinates of all 6 atoms:
Al 0.568 0.568 0.000
Co 0.750 0.250 0.500
Al 0.182 0.682 0.500
Al 0.318 0.818 0.500
Al 0.432 0.432 0.000
Co 0.000 0.000 0.000

## Properties
final energy: -5.21 eV/atom
volume: 14.0 Å³/atom
symmetry: I4_1/amd
energy relative to the elements: -0.350 eV/atom



No. 4
Below is crystalline Al5Co at its relaxed geometry, with properties calculated at the PBE-GGA level.

Lattice parameters (Å, degrees): 6.218 6.218 3.863 90.00 90.00 143.74
Fractional coordinates of all 6 atoms:
Al 0.000 0.000 0.500
Al 0.845 0.155 0.000
Co 0.500 0.500 0.000
Al 0.155 0.845 0.000
Al 0.342 0.658 0.500
Al 0.658 0.342 0.500

## Properties
final energy: -4.41 eV/atom
volume: 14.7 Å³/atom
symmetry: Cmmm
energy relative to the elements: -0.106 eV/atom



No. 5
Below is crystalline AlCo at its relaxed geometry, with properties calculated at the PBE-GGA level.

Lattice parameters (Å, degrees): 3.713 3.713 4.784 90.00 90.00 120.00
Each line ends with the local moment (μB).
Fractional coordinates of all 4 atoms:
Al 0.667 0.333 0.750  -0.02
Co 0.000 0.000 0.000  0.73
Al 0.333 0.667 0.250  -0.02
Co 0.000 0.000 0.500  0.73

## Properties
final energy: -5.46 eV/atom
volume: 14.3 Å³/atom
symmetry: P6_3/mmc
energy relative to the elements: -0.035 eV/atom



No. 6
Below is crystalline Al2Co at its relaxed geometry, with properties calculated at the PBE-GGA level.

Lattice parameters (Å, degrees): 4.912 4.912 4.912 60.00 60.00 60.00
Fractional coordinates of all 6 atoms:
Al 0.125 0.625 0.125
Co 0.500 0.500 0.500
Al 0.125 0.125 0.625
Al 0.625 0.125 0.125
Al 0.125 0.125 0.125
Co 0.750 0.750 0.750

## Properties
final energy: -4.60 eV/atom
volume: 14.0 Å³/atom
symmetry: Fd-3m
energy relative to the elements: 0.259 eV/atom



No. 7
Below is crystalline Al3Co2 at its relaxed geometry, with properties calculated at the PBE-GGA level.

Lattice parameters (Å, degrees): 7.654 6.765 4.869 80.49 60.65 38.86
Fractional coordinates of all 10 atoms:
Al 0.511 0.716 0.482
Al 0.291 0.482 0.716
Al 0.534 0.739 0.959
Al 0.151 0.349 0.349
Co 0.341 0.539 0.164
Co 0.086 0.293 0.909
Co 0.957 0.164 0.539
Al 0.901 0.099 0.099
Co 0.711 0.909 0.293
Al 0.768 0.959 0.739

## Properties
final energy: -5.49 eV/atom
volume: 12.7 Å³/atom
symmetry: Fdd2
energy relative to the elements: -0.401 eV/atom



No. 8
Below is crystalline AlCo at its relaxed geometry, with properties calculated at the PBE-GGA level.

Lattice parameters (Å, degrees): 4.206 4.206 7.046 90.00 90.00 120.00
Each line ends with the local moment (μB).
Fractional coordinates of all 8 atoms:
Al 0.333 0.667 0.750  -0.01
Al 0.000 0.000 0.250  -0.01
Co 0.667 0.333 0.909  1.12
Co 0.667 0.333 0.591  1.12
Co 0.333 0.667 0.409  1.12
Co 0.333 0.667 0.091  1.12
Al 0.667 0.333 0.250  -0.01
Al 0.000 0.000 0.750  -0.01

## Properties
final energy: -5.37 eV/atom
volume: 13.5 Å³/atom
symmetry: P6_3/mmc
energy relative to the elements: 0.056 eV/atom



No. 9
Below is crystalline AlCo at its relaxed geometry, with properties calculated at the PBE-GGA level.

Lattice parameters (Å, degrees): 4.055 4.055 4.635 90.00 90.00 120.00
Fractional coordinates of all 4 atoms:
Al 0.667 0.333 0.436
Co 0.333 0.667 0.435
Al 0.333 0.667 0.936
Co 0.667 0.333 0.935

## Properties
final energy: -5.02 eV/atom
volume: 16.5 Å³/atom
symmetry: P6_3/mmc
energy relative to the elements: 0.402 eV/atom



No. 10
Below is crystalline Al5Co4 at its relaxed geometry, with properties calculated at the PBE-GGA level.

Lattice parameters (Å, degrees): 7.153 7.153 5.067 90.00 90.00 120.00
Each line ends with the local moment (μB).
Fractional coordinates of all 18 atoms:
Al 0.667 0.333 0.500  0.00
Co 0.622 0.622 0.250  0.26
Co 0.000 0.378 0.250  0.26
Al 0.000 0.289 0.750  -0.01
Al 0.289 0.000 0.750  -0.01
Co 0.622 0.000 0.750  0.26
Al 0.289 0.289 0.250  -0.01
Co 0.378 0.378 0.750  0.26
Al 0.711 0.000 0.250  -0.01
Al 0.000 0.711 0.250  -0.01
Al 0.333 0.667 0.000  0.00
Al 0.333 0.667 0.500  0.00
Al 0.667 0.333 0.000  0.00
Co 0.000 0.000 0.000  0.94
Al 0.711 0.711 0.750  -0.01
Co 0.000 0.000 0.500  0.94
Co 0.000 0.622 0.750  0.26
Co 0.378 0.000 0.250  0.26

## Properties
final energy: -5.61 eV/atom
volume: 12.5 Å³/atom
symmetry: P6_3/mcm
energy relative to the elements: -0.377 eV/atom



No. 11
Below is crystalline Al2Co at its relaxed geometry, with properties calculated at the PBE-GGA level.

Lattice parameters (Å, degrees): 6.102 6.102 3.903 90.00 90.00 147.57
Fractional coordinates of all 6 atoms:
Al 0.429 0.571 0.750
Al 0.253 0.747 0.250
Al 0.571 0.429 0.250
Co 0.094 0.906 0.750
Co 0.906 0.094 0.250
Al 0.747 0.253 0.750

## Properties
final energy: -5.23 eV/atom
volume: 13.0 Å³/atom
symmetry: Cmcm
energy relative to the elements: -0.368 eV/atom



No. 12
Below is crystalline AlCo5 at its relaxed geometry, with properties calculated at the PBE-GGA level.

Lattice parameters (Å, degrees): 4.584 4.584 4.106 90.00 90.00 120.00
Each line ends with the local moment (μB).
Fractional coordinates of all 6 atoms:
Co 0.500 0.500 0.500  1.67
Co 0.333 0.667 0.000  1.38
Co 0.000 0.500 0.500  1.67
Co 0.667 0.333 0.000  1.38
Al 0.000 0.000 0.000  -0.02
Co 0.500 0.000 0.500  1.67

## Properties
final energy: -6.43 eV/atom
volume: 12.5 Å³/atom
symmetry: P6/mmm
energy relative to the elements: 0.120 eV/atom



No. 13
Below is crystalline Al5Co at its relaxed geometry, with properties calculated at the PBE-GGA level.

Lattice parameters (Å, degrees): 5.008 5.008 4.749 90.00 90.00 120.00
Each line ends with the local moment (μB).
Fractional coordinates of all 6 atoms:
Al 0.667 0.333 0.000  0.01
Al 0.500 0.000 0.500  0.02
Al 0.000 0.500 0.500  0.02
Al 0.500 0.500 0.500  0.02
Al 0.333 0.667 0.000  0.01
Co 0.000 0.000 0.000  1.63

## Properties
final energy: -3.89 eV/atom
volume: 17.2 Å³/atom
symmetry: P6/mmm
energy relative to the elements: 0.417 eV/atom



No. 14
Below is crystalline Al2CrCo at its relaxed geometry, with properties calculated at the PBE-GGA level.

Lattice parameters (Å, degrees): 8.351 8.351 8.351 18.53 18.53 18.53
Each line ends with the local moment (μB).
Fractional coordinates of all 4 atoms:
Cr 0.750 0.750 0.750  0.09
Co 0.250 0.250 0.250  0.82
Al 0.504 0.504 0.504  0.00
Al 0.996 0.996 0.996  0.00

## Properties
final energy: -6.13 eV/atom
volume: 12.8 Å³/atom
symmetry: R-3m
energy relative to the elements: -0.074 eV/atom



No. 15
Below is crystalline Al2CrCo at its relaxed geometry, with properties calculated at the PBE-GGA level.

Lattice parameters (Å, degrees): 4.796 4.796 4.230 63.74 63.74 37.51
Each line ends with the local moment (μB).
Fractional coordinates of all 4 atoms:
Al 0.010 0.010 0.990  -0.01
Al 0.490 0.490 0.510  -0.01
Co 0.750 0.750 0.750  1.25
Cr 0.250 0.250 0.250  1.96

## Properties
final energy: -6.16 eV/atom
volume: 13.1 Å³/atom
symmetry: C2/m
energy relative to the elements: -0.107 eV/atom



No. 16
Below is crystalline AlCrCo at its relaxed geometry, with properties calculated at the PBE-GGA level.

Lattice parameters (Å, degrees): 2.631 2.631 12.110 90.00 90.00 120.00
Each line ends with the local moment (μB).
Fractional coordinates of all 6 atoms:
Co 0.278 0.555 0.158  0.52
Cr 0.611 0.222 0.000  -0.17
Al 0.611 0.222 0.323  0.00
Cr 0.278 0.556 0.500  -0.03
Co 0.278 0.555 0.842  0.52
Al 0.611 0.222 0.677  0.00

## Properties
final energy: -6.88 eV/atom
volume: 12.1 Å³/atom
symmetry: P-6m2
energy relative to the elements: -0.051 eV/atom



No. 17
Below is crystalline Al2CrCo at its relaxed geometry, with properties calculated at the PBE-GGA level.

Lattice parameters (Å, degrees): 8.450 8.450 8.450 18.35 18.35 18.35
Each line ends with the local moment (μB).
Fractional coordinates of all 4 atoms:
Co 0.497 0.497 0.497  0.22
Al 0.004 0.004 0.004  0.00
Al 0.243 0.243 0.243  0.00
Cr 0.756 0.756 0.756  0.00

## Properties
final energy: -6.07 eV/atom
volume: 13.1 Å³/atom
symmetry: R3m
energy relative to the elements: -0.014 eV/atom



No. 18
Below is crystalline AlCrCo4 at its relaxed geometry, with properties calculated at the PBE-GGA level.

Lattice parameters (Å, degrees): 4.689 4.689 4.689 60.00 60.00 60.00
Each line ends with the local moment (μB).
Fractional coordinates of all 6 atoms:
Co 0.375 0.375 0.375  1.51
Co 0.375 0.375 0.875  1.51
Al 0.000 0.000 0.000  -0.04
Co 0.375 0.875 0.375  1.51
Cr 0.750 0.750 0.750  2.57
Co 0.875 0.375 0.375  1.51

## Properties
final energy: -6.94 eV/atom
volume: 12.1 Å³/atom
symmetry: F-43m
energy relative to the elements: 0.025 eV/atom



No. 19
Below is crystalline Al2CrCo at its relaxed geometry, with properties calculated at the PBE-GGA level.

Lattice parameters (Å, degrees): 2.756 3.315 5.560 90.00 90.00 90.00
Fractional coordinates of all 4 atoms:
Cr 0.500 0.500 0.744
Al 0.000 0.000 0.982
Al 0.500 0.500 0.276
Co 0.000 0.000 0.498

## Properties
final energy: -6.17 eV/atom
volume: 12.7 Å³/atom
symmetry: Pmm2
energy relative to the elements: -0.117 eV/atom



No. 20
Below is crystalline AlCr3Co at its relaxed geometry, with properties calculated at the PBE-GGA level.

Lattice parameters (Å, degrees): 4.232 4.232 4.232 90.00 90.00 90.00
Fractional coordinates of all 5 atoms:
Cr 0.000 0.500 0.000
Al 0.000 0.000 0.000
Co 0.500 0.500 0.500
Cr 0.500 0.000 0.000
Cr 0.000 0.000 0.500

## Properties
final energy: -6.06 eV/atom
volume: 15.2 Å³/atom
symmetry: Pm-3m
energy relative to the elements: 1.885 eV/atom



No. 21
Below is crystalline Al5CrCo4 at its relaxed geometry, with properties calculated at the PBE-GGA level.

Lattice parameters (Å, degrees): 2.860 2.860 14.687 90.00 90.00 90.00
Each line ends with the local moment (μB).
Fractional coordinates of all 10 atoms:
Al 0.500 0.500 0.306  0.00
Al 0.500 0.500 0.888  -0.02
Co 0.000 0.000 0.403  0.03
Al 0.500 0.500 0.112  -0.02
Al 0.500 0.500 0.694  0.00
Co 0.000 0.000 0.791  -0.08
Co 0.000 0.000 0.209  -0.08
Cr 0.000 0.000 0.000  1.90
Al 0.500 0.500 0.500  0.00
Co 0.000 0.000 0.597  0.03

## Properties
final energy: -6.16 eV/atom
volume: 12.0 Å³/atom
symmetry: P4/mmm
energy relative to the elements: -0.479 eV/atom



No. 22
Below is crystalline Al2CrCo2 at its relaxed geometry, with properties calculated at the PBE-GGA level.

Lattice parameters (Å, degrees): 6.867 6.867 2.642 90.00 90.00 90.00
Each line ends with the local moment (μB).
Fractional coordinates of all 10 atoms:
Al 0.636 0.136 0.000  -0.01
Al 0.136 0.364 0.000  -0.01
Co 0.837 0.337 0.500  0.17
Cr 0.000 0.000 0.000  1.98
Co 0.163 0.663 0.500  0.17
Al 0.864 0.636 0.000  -0.01
Al 0.364 0.864 0.000  -0.01
Cr 0.500 0.500 0.000  1.98
Co 0.337 0.163 0.500  0.15
Co 0.663 0.837 0.500  0.15

## Properties
final energy: -6.40 eV/atom
volume: 12.5 Å³/atom
symmetry: P4/mbm
energy relative to the elements: -0.135 eV/atom



No. 23
Below is crystalline Al2CrCo at its relaxed geometry, with properties calculated at the PBE-GGA level.

Lattice parameters (Å, degrees): 4.181 4.181 4.181 60.00 60.00 60.00
Each line ends with the local moment (μB).
Fractional coordinates of all 4 atoms:
Al 0.250 0.250 0.250  -0.04
Al 0.000 0.000 0.000  0.01
Cr 0.750 0.750 0.750  2.13
Co 0.500 0.500 0.500  0.88

## Properties
final energy: -6.18 eV/atom
volume: 12.9 Å³/atom
symmetry: F-43m
energy relative to the elements: -0.125 eV/atom



No. 24
Below is crystalline Al2CrCo at its relaxed geometry, with properties calculated at the PBE-GGA level.

Lattice parameters (Å, degrees): 6.649 6.649 5.385 51.88 51.88 90.00
Each line ends with the local moment (μB).
Fractional coordinates of all 8 atoms:
Al 0.653 0.125 0.250  -0.05
Cr 0.250 0.750 0.500  2.36
Co 0.000 0.000 0.000  0.77
Co 0.750 0.250 0.500  0.76
Al 0.097 0.625 0.250  -0.05
Al 0.375 0.347 0.750  -0.05
Al 0.875 0.903 0.750  -0.05
Cr 0.500 0.500 0.000  2.35

## Properties
final energy: -5.76 eV/atom
volume: 14.5 Å³/atom
symmetry: I-42d
energy relative to the elements: 0.298 eV/atom



No. 25
Below is crystalline Al2CrCo at its relaxed geometry, with properties calculated at the PBE-GGA level.

Lattice parameters (Å, degrees): 4.937 4.937 4.102 65.52 65.52 34.87
Each line ends with the local moment (μB).
Fractional coordinates of all 4 atoms:
Al 0.993 0.993 0.008  -0.02
Cr 0.233 0.233 0.266  1.65
Al 0.767 0.767 0.732  -0.02
Co 0.506 0.506 0.494  0.79

## Properties
final energy: -6.24 eV/atom
volume: 12.9 Å³/atom
symmetry: Imm2
energy relative to the elements: -0.186 eV/atom



No. 26
Below is crystalline Al2CrCo2 at its relaxed geometry, with properties calculated at the PBE-GGA level.

Lattice parameters (Å, degrees): 6.780 6.780 2.676 90.00 90.00 90.00
Fractional coordinates of all 10 atoms:
Al 0.336 0.164 0.500
Co 0.633 0.133 0.000
Co 0.133 0.367 0.000
Al 0.164 0.664 0.500
Al 0.836 0.336 0.500
Co 0.867 0.633 0.000
Cr 0.000 0.000 0.000
Cr 0.500 0.500 0.000
Al 0.664 0.836 0.500
Co 0.367 0.867 0.000

## Properties
final energy: -6.34 eV/atom
volume: 12.3 Å³/atom
symmetry: P4/mbm
energy relative to the elements: -0.072 eV/atom



No. 27
Below is crystalline AlCr4Co at its relaxed geometry, with properties calculated at the PBE-GGA level.

Lattice parameters (Å, degrees): 4.705 4.705 4.705 60.00 60.00 60.00
Fractional coordinates of all 6 atoms:
Cr 0.376 0.376 0.376
Cr 0.376 0.376 0.871
Cr 0.376 0.871 0.376
Al 0.750 0.750 0.750
Cr 0.871 0.376 0.376
Co 0.000 0.000 0.000

## Properties
final energy: -8.05 eV/atom
volume: 12.3 Å³/atom
symmetry: F-43m
energy relative to the elements: 0.174 eV/atom